DFT (GGA-PBE) results for a relaxed TaCo3 crystal.

- Energy: -8.062 eV per atom
- Energy of formation: 5.3 kcal/mol of atoms
- Magnetization: 4.3 μB/f.u.
- Crystal system: trigonal

Geometry as POSCAR:
```
TaCo3
1.0
1.3415 0.7745 8.3808
-1.3415 0.7745 8.3808
0.0000 -1.5490 8.3808
Ta Co
1 3
direct
0.0000 0.0000 0.0000
0.2429 0.2429 0.2429
0.5000 0.5000 0.5000
0.7571 0.7571 0.7571
```

DFT (GGA-PBE) results for a relaxed TaCo3 crystal.

- Energy: -8.434 eV per atom
- Energy of formation: -3.3 kcal/mol of atoms
- Magnetization: 2.2 μB/f.u.
- Crystal system: trigonal

Geometry as POSCAR:
```
TaCo3
1.0
4.7101 0.0000 0.0000
-2.3550 4.0790 0.0000
0.0000 0.0000 15.4266
Ta Co
6 18
direct
0.0000 0.0000 0.0917
0.0000 0.0000 0.9083
0.3333 0.6667 0.6484
0.3333 0.6667 0.8398
0.6667 0.3333 0.1602
0.6667 0.3333 0.3516
0.0000 0.0000 0.4139
0.0000 0.0000 0.5861
0.0000 0.5000 0.0000
0.0000 0.5000 0.5000
0.1627 0.3255 0.2526
0.1627 0.8373 0.2526
0.3255 0.1627 0.7474
0.3333 0.6667 0.1283
0.3333 0.6667 0.3750
0.5000 0.0000 0.0000
0.5000 0.0000 0.5000
0.5000 0.5000 0.0000
0.5000 0.5000 0.5000
0.6667 0.3333 0.6250
0.6667 0.3333 0.8717
0.6745 0.8373 0.2526
0.8373 0.1627 0.7474
0.8373 0.6745 0.7474
```

DFT (GGA-PBE) results for a relaxed TaCo3 crystal.

- Energy: -8.347 eV per atom
- Energy of formation: -1.3 kcal/mol of atoms
- Magnetization: 3.5 μB/f.u.
- Crystal system: cubic

Geometry as POSCAR:
```
TaCo3
1.0
4.6667 0.0000 0.0000
0.0000 4.6667 0.0000
0.0000 0.0000 4.6667
Ta Co
2 6
direct
0.0000 0.0000 0.0000
0.5000 0.5000 0.5000
0.0000 0.2500 0.5000
0.0000 0.7500 0.5000
0.2500 0.5000 0.0000
0.5000 0.0000 0.2500
0.5000 0.0000 0.7500
0.7500 0.5000 0.0000
```

DFT (GGA-PBE) results for a relaxed Ta7Co6 crystal.

- Energy: -9.092 eV per atom
- Energy of formation: 13.1 kcal/mol of atoms
- Magnetization: 4.2 μB/f.u.
- Crystal system: trigonal

Geometry as POSCAR:
```
Ta7Co6
1.0
2.6558 1.5333 8.5822
-2.6558 1.5333 8.5822
0.0000 -3.0666 8.5822
Ta Co
7 6
direct
0.0000 0.0000 0.0000
0.0837 0.0837 0.5788
0.0837 0.5788 0.0837
0.4212 0.9163 0.9163
0.5788 0.0837 0.0837
0.9163 0.4212 0.9163
0.9163 0.9163 0.4212
0.1679 0.1679 0.1679
0.3469 0.3469 0.3469
0.4562 0.4562 0.4562
0.5438 0.5438 0.5438
0.6531 0.6531 0.6531
0.8321 0.8321 0.8321
```

DFT (GGA-PBE) results for a relaxed TaCo3 crystal.

- Energy: -8.265 eV per atom
- Energy of formation: 0.6 kcal/mol of atoms
- Magnetization: 4.5 μB/f.u.
- Crystal system: tetragonal

Geometry as POSCAR:
```
TaCo3
1.0
2.8186 0.0000 0.0000
0.0000 2.8186 0.0000
0.0000 0.0000 6.4009
Ta Co
1 3
direct
0.0000 0.0000 0.0000
0.0000 0.0000 0.5000
0.5000 0.5000 0.2863
0.5000 0.5000 0.7137
```

DFT (GGA-PBE) results for a relaxed Ta4Co3 crystal.

- Energy: -10.003 eV per atom
- Energy of formation: -4.3 kcal/mol of atoms
- Magnetization: 0.0 μB/f.u.
- Crystal system: hexagonal

Geometry as POSCAR:
```
Ta4Co3
1.0
4.8904 0.0000 0.0000
-2.4452 4.2352 0.0000
0.0000 0.0000 4.9688
Ta Co
4 3
direct
0.0000 0.0000 0.2487
0.0000 0.0000 0.7513
0.3333 0.6667 0.5000
0.6667 0.3333 0.5000
0.0000 0.5000 0.0000
0.5000 0.0000 0.0000
0.5000 0.5000 0.0000
```

DFT (GGA-PBE) results for a relaxed Ta5Co4 crystal.

- Energy: -9.626 eV per atom
- Energy of formation: 2.7 kcal/mol of atoms
- Magnetization: 5.3 μB/f.u.
- Crystal system: tetragonal

Geometry as POSCAR:
```
Ta5Co4
1.0
-4.5980 4.5980 1.6132
4.5980 -4.5980 1.6132
4.5980 4.5980 -1.6132
Ta Co
5 4
direct
0.0000 0.0000 0.0000
0.3308 0.3308 0.6616
0.3308 0.6692 0.0000
0.6692 0.3308 0.0000
0.6692 0.6692 0.3384
0.0000 0.3436 0.3436
0.0000 0.6564 0.6564
0.3436 0.0000 0.3436
0.6564 0.0000 0.6564
```

DFT (GGA-PBE) results for a relaxed TaCoTc2 crystal.

- Energy: -9.699 eV per atom
- Energy of formation: 5.2 kcal/mol of atoms
- Magnetization: 0.9 μB/f.u.
- Crystal system: trigonal

Geometry as POSCAR:
```
TaCoTc2
1.0
1.3702 0.7911 9.0560
-1.3702 0.7911 9.0560
0.0000 -1.5821 9.0560
Ta Co Tc
1 1 2
direct
0.0000 0.0000 0.0000
0.5000 0.5000 0.5000
0.2418 0.2418 0.2418
0.7582 0.7582 0.7582
```